The following is a DFT calculation (PBE) of a relaxed structure of BAs.

Its space group is P4/m. For the energy of formation, the calculation gives 0.430 eV/atom.

Geometry as POSCAR:
```
BAs
1.0
9.542 0.000 0.000
0.000 9.542 0.000
0.000 0.000 3.486
As B
8 8
direct
0.767 0.392 0.500
0.392 0.233 0.500
0.608 0.767 0.500
0.373 0.894 0.000
0.627 0.106 0.000
0.233 0.608 0.500
0.106 0.373 0.000
0.894 0.627 0.000
0.229 0.378 0.500
0.771 0.622 0.500
0.406 0.114 0.000
0.594 0.886 0.000
0.378 0.771 0.500
0.622 0.229 0.500
0.886 0.406 0.000
0.114 0.594 0.000
```